Entry from Alexandria: a geometry-optimized HfZrPO2 structure (PBE).

Cell lengths 3.9695, 3.9695, 5.3307 Å; angles 90.00, 90.00, 90.00 degrees
Space group P4/mmm (No. 123)
One atom of each set of equivalent atoms:
Hf  0.0000  0.0000  0.0000
Zr  0.5000  0.5000  0.5000
P  0.0000  0.0000  0.5000
O  0.0000  0.5000  0.0000

Computed properties:
Formation energy from raw total energies in kJ/mol of formula units: -889
Polymorph energy (0 for the lowest one) in meV per atom: 0

Entry from Alexandria: a geometry-optimized HfZrPO2 structure (PBE).

Cell lengths 3.9942, 3.9942, 5.4172 Å; angles 90.00, 90.00, 90.00 degrees
Space group P4/mmm (No. 123)
One atom of each set of equivalent atoms:
Hf  0.0000  0.0000  0.0000
Zr  0.5000  0.5000  0.5000
P  0.5000  0.5000  0.0000
O  0.0000  0.5000  0.5000

Computed properties:
Formation energy from raw total energies in kJ/mol of formula units: -750
Polymorph energy (0 for the lowest one) in meV per atom: 289

Entry from Alexandria: a geometry-optimized HfZrP2O structure (PBE).

Cell lengths 5.0325, 5.0325, 3.9176 Å; angles 90.00, 90.00, 90.00 degrees
Space group P4/mmm (No. 123)
One atom of each set of equivalent atoms:
Hf  0.0000  0.0000  0.0000
Zr  0.5000  0.5000  0.5000
P  0.0000  0.5000  0.5000
O  0.5000  0.5000  0.0000

Computed properties:
Formation energy from raw total energies in kJ/mol of formula units: -325
Polymorph energy (0 for the lowest one) in meV per atom: 240

Entry from Alexandria: a geometry-optimized HfPaO6 structure (PBE).

Cell lengths 10.4038, 4.0545, 6.7357 Å; angles 90.00, 127.62, 90.00 degrees
Space group C2/m (No. 12)
One atom of each set of equivalent atoms:
Hf  0.0000  0.0000  0.0000
Pa  0.0000  0.5000  0.5000
O  0.0122  0.0000  0.3205
O  0.0671  0.5000  0.9921
O  0.2420  0.5000  0.7407

Computed properties:
Formation energy from raw total energies in kJ/mol of formula units: -1995

- What is the formation energy from raw total energies in the fourth record?
  -1995 kJ/mol of formula units

Copy entry 4 word for word.
Entry from Alexandria: a geometry-optimized HfPaO6 structure (PBE).

Cell lengths 10.4038, 4.0545, 6.7357 Å; angles 90.00, 127.62, 90.00 degrees
Space group C2/m (No. 12)
One atom of each set of equivalent atoms:
Hf  0.0000  0.0000  0.0000
Pa  0.0000  0.5000  0.5000
O  0.0122  0.0000  0.3205
O  0.0671  0.5000  0.9921
O  0.2420  0.5000  0.7407

Computed properties:
Formation energy from raw total energies in kJ/mol of formula units: -1995